This record from OQMD via LeMat-Bulk describes crystalline DyHf3Pb2C2 at its relaxed geometry. The functional is PBE-GGA.

## Properties
**Uncorrected energy**: -8.15 eV/atom

Lattice parameters (Å, degrees): 3.4209 3.4209 15.1042 90.00 90.00 120.00
Space group P3m1 (No. 156)
Inequivalent atoms, fractional coordinates:
Dy: 0.0000 0.0000 0.0000 [1 per cell]
Hf: 0.0000 0.0000 0.6559 [1 per cell]
Hf: 0.6667 0.3333 0.1698 [1 per cell]
Hf: 0.6667 0.3333 0.4992 [1 per cell]
Pb: 0.0000 0.0000 0.3347 [1 per cell]
Pb: 0.6667 0.3333 0.8212 [1 per cell]
C: 0.3333 0.6667 0.0967 [1 per cell]
C: 0.3333 0.6667 0.5775 [1 per cell]